Computed, not measured: BPd2Au after structural relaxation at the GGA-PBE level of DFT.

Unit cell a=2.762 b=2.762 c=7.150 alpha=90.00 beta=90.00 gamma=90.00
Positions (direct):
B: 0.000 0.000 0.000
Pd: 0.500 0.500 0.184
Pd: 0.500 0.500 0.816
Au: 0.000 0.000 0.500

Computed properties:
Formation enthalpy at 0 K, eV per atom: 0.006
Space group: No. 123
VASP energy, eV/atom: -5.08

Computed, not measured: B3PdAu after structural relaxation at the GGA-PBE level of DFT.

Unit cell a=4.123 b=4.123 c=4.123 alpha=90.00 beta=90.00 gamma=90.00
Positions (direct):
B: 0.000 0.000 0.500
B: 0.000 0.500 0.000
B: 0.500 0.000 0.000
Pd: 0.000 0.000 0.000
Au: 0.500 0.500 0.500

Computed properties:
Excess energy over the best structure of this formula in the dataset, meV per atom: 0
Formation enthalpy at 0 K, eV per atom: 1.400
Space group: No. 221
VASP energy, eV/atom: -4.30

- Number 1 is which compound?
  BPd2Au

- What is the formation enthalpy at 0 K in the first record?
  0.006 eV per atom

- Which of these has the highest VASP energy?
  B3PdAu

Copy entry 1 word for word.
Computed, not measured: BPd2Au after structural relaxation at the GGA-PBE level of DFT.

Unit cell a=2.762 b=2.762 c=7.150 alpha=90.00 beta=90.00 gamma=90.00
Positions (direct):
B: 0.000 0.000 0.000
Pd: 0.500 0.500 0.184
Pd: 0.500 0.500 0.816
Au: 0.000 0.000 0.500

Computed properties:
Formation enthalpy at 0 K, eV per atom: 0.006
Space group: No. 123
VASP energy, eV/atom: -5.08